{
  "formula": "Li2Be2OsO6",
  "functional": "PBE-GGA",
  "state": "optimized geometry",
  "cell": [[4.795, 0.000, 0.000], [-2.398, 4.153, 0.000], [0.000, 0.000, 4.855]],
  "species": ["Li", "Li", "Be", "Be", "Os", "O", "O", "O", "O", "O", "O"],
  "fractional_positions": [[0.333, 0.667, 0.500], [0.667, 0.333, 0.500], [0.333, 0.667, 0.000], [0.667, 0.333, 0.000], [0.000, 0.000, 0.000], [0.348, 0.348, 0.794], [0.000, 0.652, 0.794], [0.652, 0.000, 0.794], [0.652, 0.652, 0.206], [0.000, 0.348, 0.206], [0.348, 0.000, 0.206]],
  "sg": "P-31m (162)",
  "m_tot_mub_per_fu": 2.02,
  "e_tot_ev_per_cell": -70.7
}

{
  "formula": "LiBePO4",
  "functional": "PBE-GGA",
  "state": "optimized geometry",
  "cell": [[4.476, 0.000, 0.000], [0.000, 4.476, 0.000], [-2.238, -2.238, 3.579]],
  "species": ["Li", "Be", "P", "O", "O", "O", "O"],
  "fractional_positions": [[0.000, 0.000, 0.000], [0.500, 0.500, 0.000], [0.250, 0.750, 0.500], [0.215, 0.109, 0.748], [0.361, 0.785, 0.252], [0.533, 0.639, 0.748], [0.891, 0.467, 0.252]],
  "sg": "I-4 (82)",
  "m_tot_mub_per_fu": 0.00,
  "e_tot_ev_per_cell": -48.3
}

{
  "formula": "LiBe2P2O7",
  "functional": "PBE-GGA",
  "state": "optimized geometry",
  "cell": [[4.839, 0.000, 0.000], [2.420, 4.191, 0.000], [2.420, 1.397, 7.072]],
  "species": ["Li", "Be", "Be", "P", "P", "O", "O", "O", "O", "O", "O", "O"],
  "fractional_positions": [[0.500, 0.500, 0.500], [0.745, 0.745, 0.764], [0.255, 0.255, 0.236], [0.926, 0.926, 0.223], [0.074, 0.074, 0.777], [0.179, 0.951, 0.289], [0.581, 0.179, 0.289], [0.951, 0.581, 0.289], [0.419, 0.049, 0.711], [0.821, 0.419, 0.711], [0.000, 0.000, 0.000], [0.049, 0.821, 0.711]],
  "sg": "R32 (155)",
  "m_tot_mub_per_fu": 0.44,
  "e_tot_ev_per_cell": -80.0
}

{
  "formula": "LiPa3Be4O12",
  "functional": "PBE-GGA",
  "state": "optimized geometry",
  "cell": [[6.739, 0.030, 0.041], [-1.595, 6.547, 0.041], [-1.595, -2.039, 6.222]],
  "species": ["Li", "Pa", "Pa", "Pa", "Be", "Be", "Be", "Be", "O", "O", "O", "O", "O", "O", "O", "O", "O", "O", "O", "O"],
  "fractional_positions": [[0.000, 0.000, 0.000], [0.542, 0.458, 0.000], [0.458, 0.000, 0.542], [0.000, 0.542, 0.458], [0.954, 0.046, 0.500], [0.046, 0.500, 0.954], [0.500, 0.954, 0.046], [0.500, 0.500, 0.500], [0.500, 0.354, 0.646], [0.897, 0.500, 0.103], [0.103, 0.897, 0.500], [0.500, 0.103, 0.897], [0.385, 0.984, 0.219], [0.219, 0.385, 0.984], [0.984, 0.219, 0.385], [0.615, 0.781, 0.016], [0.016, 0.615, 0.781], [0.781, 0.016, 0.615], [0.646, 0.500, 0.354], [0.354, 0.646, 0.500]],
  "sg": "R32 (155)",
  "m_tot_mub_per_fu": 0.00,
  "e_tot_ev_per_cell": -164.4
}